! GGA+U K2Na2NbW3O12, relaxed; values from VASP
&SYSTEM
  ibrav = 0, nat = 20, ntyp = 5
/
ATOMIC_SPECIES
K 39.10 K.upf
Na 22.99 Na.upf
Nb 92.91 Nb.upf
W 183.84 W.upf
O 16.00 O.upf
CELL_PARAMETERS angstrom
3.991 0.000 0.000
0.000 8.021 0.000
0.000 0.000 8.033
ATOMIC_POSITIONS angstrom
K 1.996 2.019 2.020
K 1.996 2.019 6.013
Na 1.996 5.962 2.061
Na 1.996 5.962 5.972
Nb 0.000 4.027 4.017
W 0.000 8.009 0.000
W 0.000 4.037 0.000
W 0.000 8.002 4.017
O 1.996 7.998 0.000
O 1.996 4.054 0.000
O 1.996 7.985 4.017
O 1.996 4.055 4.017
O 0.000 7.982 2.080
O 0.000 4.058 1.998
O 0.000 7.982 5.953
O 0.000 4.058 6.035
O 0.000 2.079 0.000
O 0.000 5.971 0.000
O 0.000 1.993 4.017
O 0.000 6.022 4.017
! - SG = Pmm2
! - Fermi-level density of states (states/eV per cell) = 1.2
! - energy (eV per atom) = -6.9143